4
Lattice="0.000 3.644 3.644 3.644 0.000 3.644 3.644 3.644 0.000" Properties=species:S:1:pos:R:3 comment="PbAu2Br PBE-GGA relaxed" crystal_system=cubic relative_energy_mev_per_atom=233 e_form_raw_ev_per_atom=0.11 pbc="T T T"
Pb 0.000 0.000 0.000
Au 1.822 1.822 1.822
Au 3.644 3.644 3.644
Br 5.465 5.465 5.465

***

18
Lattice="6.302 0.000 0.000 -1.044 9.580 0.000 -3.145 -2.414 10.161" Properties=species:S:1:pos:R:3 comment="AcTb4Sm4 PBE-GGA relaxed" crystal_system=triclinic e_form_mev_per_atom=30 pbc="T T T"
Ac 0.517 3.510 1.988
Ac 1.597 3.656 8.173
Tb -0.555 2.695 5.369
Tb -0.521 -0.740 6.473
Tb 0.524 0.019 3.126
Tb 0.567 7.030 0.879
Tb 1.546 0.136 9.283
Tb 1.590 7.146 7.035
Tb 2.634 7.906 3.688
Tb 2.669 4.471 4.793
Sm -1.579 -1.578 9.855
Sm -1.561 1.879 8.709
Sm -1.562 5.425 7.605
Sm -0.507 6.220 4.258
Sm 2.620 0.946 5.904
Sm 3.676 1.741 2.557
Sm 3.674 5.286 1.452
Sm 3.693 8.744 0.306

***

4
Lattice="4.495 -1.349 0.000 4.495 1.349 0.000 -0.953 0.000 4.522" Properties=species:S:1:pos:R:3 comment="ZnFeTc2 PBE-GGA relaxed" crystal_system=monoclinic e_form_mev_per_atom=134 pbc="T T T"
Zn 0.000 0.000 0.000
Fe 4.019 0.000 2.261
Tc 1.445 0.000 3.343
Tc 6.594 0.000 1.179

***

6
Lattice="4.385 -1.573 0.000 4.385 1.573 0.000 -3.419 0.000 10.035" Properties=species:S:1:pos:R:3 comment="TaSbMo PBE-GGA relaxed" crystal_system=monoclinic relative_energy_mev_per_atom=566 e_form_raw_ev_per_atom=0.48 pbc="T T T"
Ta -0.549 0.000 4.272
Ta 5.900 0.000 5.763
Sb -2.633 0.000 8.621
Sb 7.984 0.000 1.414
Mo -0.132 0.000 7.004
Mo 5.483 0.000 3.031

***

5
Lattice="-2.055 2.055 5.115 2.055 -2.055 5.115 2.055 2.055 -5.115" Properties=species:S:1:pos:R:3 comment="LiPmBeGe2 PBE-GGA relaxed" crystal_system=tetragonal e_form_mev_per_atom=-466 pbc="T T T"
Li 0.000 0.000 0.000
Pm 0.000 2.055 2.557
Be 0.000 0.000 5.115
Ge 2.055 0.000 1.294
Ge 2.055 0.000 3.821

***

3
Lattice="4.517 0.000 0.000 -2.258 3.911 0.000 0.000 0.000 4.475" Properties=species:S:1:pos:R:3 comment="LaSiSn PBE-GGA relaxed" crystal_system=trigonal e_form_raw_ev_per_atom=-0.47 pbc="T T T"
La 0.000 0.000 0.000
Si 0.000 2.608 2.675
Sn 2.258 1.304 2.032

***

6
Lattice="0.000 3.686 3.686 3.686 0.000 3.686 3.686 3.686 0.000" Properties=species:S:1:pos:R:3 comment="MnRhW4 PBE-GGA relaxed" crystal_system=cubic e_form_mev_per_atom=511 pbc="T T T"
Mn 0.000 0.000 0.000
Rh 5.530 5.530 5.530
W 2.757 2.757 2.757
W 4.616 4.616 2.757
W 4.616 2.757 4.616
W 2.757 4.616 4.616

***

10
Lattice="10.948 -1.969 0.000 10.948 1.969 0.000 -0.910 0.000 6.047" Properties=species:S:1:pos:R:3 comment="Tm3ZnTe PBE-GGA relaxed" crystal_system=monoclinic relative_energy_mev_per_atom=0 e_form_raw_ev_per_atom=-0.57 pbc="T T T"
Tm -0.205 0.000 1.552
Tm 4.196 0.000 0.582
Tm 7.738 0.000 2.643
Tm 13.249 0.000 3.404
Tm 16.790 0.000 5.466
Tm 21.191 0.000 4.495
Zn 4.484 0.000 3.722
Zn 16.503 0.000 2.326
Te 8.170 0.000 5.796
Te 12.816 0.000 0.252

***

6
Lattice="6.014 -1.798 0.000 6.014 1.798 0.000 -0.813 0.000 9.817" Properties=species:S:1:pos:R:3 comment="La2Ho PBE-GGA relaxed" crystal_system=monoclinic relative_energy_mev_per_atom=60 e_form_mev_per_atom=93 pbc="T T T"
La 1.265 0.000 4.123
La 3.516 0.000 8.901
La 7.699 0.000 0.916
La 9.950 0.000 5.693
Ho 4.441 0.000 2.593
Ho 6.774 0.000 7.223

***

16
Lattice="4.366 2.521 7.110 -4.366 2.521 7.110 0.000 -5.041 7.110" Properties=species:S:1:pos:R:3 comment="Sm5Sc3Sb8 PBE-GGA relaxed" crystal_system=trigonal e_form_raw_ev_per_atom=-1.07 pbc="T T T"
Sm 0.000 0.000 0.000
Sm -2.183 -1.260 7.110
Sm -2.183 1.260 14.220
Sm 0.000 2.521 7.110
Sm 0.000 0.000 10.665
Sc -4.366 0.000 10.665
Sc -2.183 1.260 3.555
Sc 2.183 1.260 3.555
Sb -2.242 -1.295 12.346
Sb 0.000 0.000 5.189
Sb 0.000 -2.589 8.984
Sb -2.242 1.295 8.984
Sb 2.242 -1.295 12.346
Sb 0.000 2.589 12.346
Sb 0.000 0.000 16.141
Sb 2.242 1.295 8.984

***

20
Lattice="5.393 0.000 0.000 0.000 7.804 0.000 0.000 0.000 5.649" Properties=species:S:1:pos:R:3 comment="Pr2AlIrO6 PBE-GGA relaxed" crystal_system=orthorhombic e_form_raw_ev_per_atom=-2.44 pbc="T T T"
Pr 1.348 0.102 1.333
Pr 1.348 3.800 1.333
Pr 4.045 4.004 4.317
Pr 4.045 7.702 4.317
Al 1.348 5.853 4.241
Al 4.045 1.951 1.408
Ir 1.348 1.951 4.204
Ir 4.045 5.853 1.445
O 0.003 1.951 0.078
O 0.016 1.951 2.663
O 1.348 3.980 4.350
O 1.348 7.726 4.350
O 2.680 1.951 2.663
O 2.693 1.951 0.078
O 2.700 5.853 5.572
O 2.713 5.853 2.986
O 4.045 0.078 1.299
O 4.045 3.824 1.299
O 5.377 5.853 2.986
O 5.390 5.853 5.572

***

7
Lattice="6.037 0.000 0.000 0.000 3.492 0.000 -1.733 0.000 10.124" Properties=species:S:1:pos:R:3 comment="NdTm2Tl4 PBE-GGA relaxed" crystal_system=monoclinic relative_energy_mev_per_atom=189 e_form_mev_per_atom=-10 pbc="T T T"
Nd 0.000 0.000 0.000
Tm 0.605 1.746 6.041
Tm 3.699 1.746 4.083
Tl 0.562 1.746 2.895
Tl 1.192 0.000 8.596
Tl 3.112 0.000 1.528
Tl 3.742 1.746 7.228

***

no.,total magnetization (μB/atom),raw total energy (eV/atom)
1,0.00,-2.87
2,0.00,-4.58
3,0.40,-7.48
4,0.00,-8.45
5,0.00,-4.39
6,0.00,-5.25
7,0.48,-10.88
8,0.00,-4.14
9,0.00,-4.72
10,0.00,-5.79
11,0.00,-7.63
12,0.00,-3.32